Entry 1:
Below is a relaxed CeCo3Ge crystal, with properties calculated at the PBE-GGA level.

Cell: 6.1383 6.1383 6.1383 Å, 132.69 100.33 98.20°
Element x y z (fractional)
1 Ce 0.2962 0.0462 0.2500
2 Ce 0.7038 0.9538 0.7500
3 Co 0.0665 0.3165 0.7500
4 Co 0.2507 0.0000 0.7507
5 Co 0.2507 0.5000 0.2507
6 Co 0.7493 0.0000 0.2493
7 Co 0.7493 0.5000 0.7493
8 Co 0.9335 0.6835 0.2500
9 Ge 0.0000 0.5000 0.5000
10 Ge 0.5000 0.5000 0.0000

Output
Volume: 15.6 Å³ per atom
Formation energy from the elements: -0.254 eV/atom
Total moment: 0.25 μB per formula unit
Energy: -6.627 eV per atom

***

Entry 2:
Below is a relaxed KMn2Ir crystal, with properties calculated at the PBE-GGA level.

Cell: 4.8930 4.8930 2.9143 Å, 90.00 90.00 90.00°
Element x y z (fractional)
1 K 0.0000 0.0000 0.0000
2 Mn 0.0000 0.5000 0.5000
3 Mn 0.5000 0.0000 0.5000
4 Ir 0.5000 0.5000 0.0000

Output
Volume: 17.4 Å³ per atom
Offset from the most stable computed form: 425 meV/atom
Formation energy from the elements: 0.918 eV/atom
Total moment: 7.88 μB per formula unit
Energy: -6.156 eV per atom

***

Entry 3:
Below is a relaxed CrGeRu2 crystal, with properties calculated at the PBE-GGA level.

Cell: 3.0169 3.0169 6.0211 Å, 90.00 90.00 90.00°
Element x y z (fractional)
1 Cr 0.0000 0.0000 0.0000
2 Ge 0.0000 0.0000 0.5000
3 Ru 0.5000 0.5000 0.2551
4 Ru 0.5000 0.5000 0.7449

Output
Volume: 13.7 Å³ per atom
Formation energy from the elements: -0.086 eV/atom
Total moment: 2.19 μB per formula unit
Energy: -8.284 eV per atom

***

Repeat the first record exactly.
Below is a relaxed CeCo3Ge crystal, with properties calculated at the PBE-GGA level.

Cell: 6.1383 6.1383 6.1383 Å, 132.69 100.33 98.20°
Element x y z (fractional)
1 Ce 0.2962 0.0462 0.2500
2 Ce 0.7038 0.9538 0.7500
3 Co 0.0665 0.3165 0.7500
4 Co 0.2507 0.0000 0.7507
5 Co 0.2507 0.5000 0.2507
6 Co 0.7493 0.0000 0.2493
7 Co 0.7493 0.5000 0.7493
8 Co 0.9335 0.6835 0.2500
9 Ge 0.0000 0.5000 0.5000
10 Ge 0.5000 0.5000 0.0000

Output
Volume: 15.6 Å³ per atom
Formation energy from the elements: -0.254 eV/atom
Total moment: 0.25 μB per formula unit
Energy: -6.627 eV per atom

***

> The lowest energy belongs to which entry?

CrGeRu2

***

> Which formula does entry 2 have?

KMn2Ir

***

> What is the formula in the first record?

CeCo3Ge